Record 1
This record from Alexandria via LeMat-Bulk describes a geometry-optimized NdDyHo2Te6 structure. The functional is PBE-GGA.

```
data_NdDyHo2Te6
_symmetry_space_group_name_H-M 'P 1'
_symmetry_Int_Tables_number 1
_cell_length_a 7.748
_cell_length_b 7.748
_cell_length_c 8.344
_cell_angle_alpha 62.34
_cell_angle_beta 62.34
_cell_angle_gamma 60.00
loop_
_symmetry_equiv_pos_as_xyz
'x,y,z'
loop_
_atom_site_label
_atom_site_type_symbol
_atom_site_fract_x
_atom_site_fract_y
_atom_site_fract_z
Te1 Te 0.912 0.604 0.247
Te2 Te 0.604 0.237 0.247
Te3 Te 0.237 0.912 0.247
Te4 Te 0.400 0.733 0.751
Te5 Te 0.116 0.400 0.751
Te6 Te 0.733 0.116 0.751
Ho1 Ho 0.007 0.007 0.978
Ho2 Ho 0.509 0.509 0.472
Nd1 Nd 0.820 0.820 0.541
Dy1 Dy 0.322 0.322 0.033
```

Magnetization, μB per atom: 0.00
Formation energy (no corrections), eV/atom: -1.36
SG: R3



Record 2
This record from Alexandria via LeMat-Bulk describes a geometry-optimized Ti2IrRu structure. The functional is PBE-GGA.

```
data_Ti2IrRu
_symmetry_space_group_name_H-M 'P 1'
_symmetry_Int_Tables_number 1
_cell_length_a 4.055
_cell_length_b 4.055
_cell_length_c 8.746
_cell_angle_alpha 76.60
_cell_angle_beta 76.60
_cell_angle_gamma 90.00
loop_
_symmetry_equiv_pos_as_xyz
'x,y,z'
loop_
_atom_site_label
_atom_site_type_symbol
_atom_site_fract_x
_atom_site_fract_y
_atom_site_fract_z
Ti1 Ti 0.375 0.379 0.750
Ti2 Ti 0.621 0.125 0.250
Ti3 Ti 0.875 0.871 0.750
Ti4 Ti 0.129 0.625 0.250
Ru1 Ru 0.250 0.750 0.500
Ru2 Ru 0.500 0.500 0.000
Ir1 Ir 0.000 0.000 0.000
Ir2 Ir 0.750 0.250 0.500
```

Density of states at the Fermi level, states/eV per cell: 12.4
Magnetization, μB per atom: 0.00
SG: I-42d
ΔE_f, meV/atom: 114



Record 3
This record from Alexandria via LeMat-Bulk describes a geometry-optimized La2ErSn3Pd6 structure. The functional is PBE-GGA.

```
data_La2ErSn3Pd6
_symmetry_space_group_name_H-M 'P 1'
_symmetry_Int_Tables_number 1
_cell_length_a 4.128
_cell_length_b 4.128
_cell_length_c 17.695
_cell_angle_alpha 90.00
_cell_angle_beta 90.00
_cell_angle_gamma 90.00
loop_
_symmetry_equiv_pos_as_xyz
'x,y,z'
loop_
_atom_site_label
_atom_site_type_symbol
_atom_site_fract_x
_atom_site_fract_y
_atom_site_fract_z
La1 La 0.500 0.500 0.813
La2 La 0.500 0.500 0.187
Pd1 Pd 0.500 0.000 0.390
Pd2 Pd 0.000 0.000 0.144
Pd3 Pd 0.000 0.500 0.390
Pd4 Pd 0.000 0.500 0.610
Pd5 Pd 0.000 0.000 0.856
Pd6 Pd 0.500 0.000 0.610
Sn1 Sn 0.000 0.000 0.296
Sn2 Sn 0.000 0.000 0.704
Sn3 Sn 0.000 0.000 0.000
Er1 Er 0.500 0.500 0.500
```

Density of states at the Fermi level, states/eV per cell: 6.8
Magnetization, μB per atom: 0.00
SG: P4/mmm
ΔE_f, meV/atom: -570



Record 4
This record from Alexandria via LeMat-Bulk describes a geometry-optimized NaGa2Os2 structure. The functional is PBE-GGA.

```
data_NaGa2Os2
_symmetry_space_group_name_H-M 'P 1'
_symmetry_Int_Tables_number 1
_cell_length_a 7.868
_cell_length_b 7.868
_cell_length_c 2.630
_cell_angle_alpha 90.00
_cell_angle_beta 90.00
_cell_angle_gamma 90.00
loop_
_symmetry_equiv_pos_as_xyz
'x,y,z'
loop_
_atom_site_label
_atom_site_type_symbol
_atom_site_fract_x
_atom_site_fract_y
_atom_site_fract_z
Os1 Os 0.632 0.868 0.500
Os2 Os 0.368 0.132 0.500
Os3 Os 0.868 0.368 0.500
Os4 Os 0.132 0.632 0.500
Na1 Na 0.500 0.500 0.000
Na2 Na 0.000 0.000 0.000
Ga1 Ga 0.664 0.164 0.000
Ga2 Ga 0.164 0.336 0.000
Ga3 Ga 0.336 0.836 0.000
Ga4 Ga 0.836 0.664 0.000
```

Relative energy among the computed polymorphs, eV/atom: 0.000
Density of states at the Fermi level, states/eV per cell: 5.8
Magnetization, μB per atom: 0.00
SG: P4/mbm
ΔE_f, meV/atom: 177



Copy entry 1 word for word.
This record from Alexandria via LeMat-Bulk describes a geometry-optimized NdDyHo2Te6 structure. The functional is PBE-GGA.

```
data_NdDyHo2Te6
_symmetry_space_group_name_H-M 'P 1'
_symmetry_Int_Tables_number 1
_cell_length_a 7.748
_cell_length_b 7.748
_cell_length_c 8.344
_cell_angle_alpha 62.34
_cell_angle_beta 62.34
_cell_angle_gamma 60.00
loop_
_symmetry_equiv_pos_as_xyz
'x,y,z'
loop_
_atom_site_label
_atom_site_type_symbol
_atom_site_fract_x
_atom_site_fract_y
_atom_site_fract_z
Te1 Te 0.912 0.604 0.247
Te2 Te 0.604 0.237 0.247
Te3 Te 0.237 0.912 0.247
Te4 Te 0.400 0.733 0.751
Te5 Te 0.116 0.400 0.751
Te6 Te 0.733 0.116 0.751
Ho1 Ho 0.007 0.007 0.978
Ho2 Ho 0.509 0.509 0.472
Nd1 Nd 0.820 0.820 0.541
Dy1 Dy 0.322 0.322 0.033
```

Magnetization, μB per atom: 0.00
Formation energy (no corrections), eV/atom: -1.36
SG: R3



Which value of magnetization does entry 4 give?
0.00 μB per atom